(1)
This record from the Alexandria database describes a relaxed Ca3Cu8Pd crystal. The functional is PBE.

Cell: 9.0076 9.0076 9.0076 Å, 33.21 33.21 33.21°
Sites, in units of the cell vectors:
1 Ca 0.0000 0.0000 0.0000
2 Ca 0.1303 0.1303 0.1303
3 Ca 0.5178 0.5178 0.5178
4 Cu 0.0649 0.5682 0.5682
5 Cu 0.0727 0.0727 0.5671
6 Cu 0.0727 0.5671 0.0727
7 Cu 0.3190 0.3190 0.3190
8 Cu 0.5671 0.0727 0.0727
9 Cu 0.5682 0.0649 0.5682
10 Cu 0.5682 0.5682 0.0649
11 Cu 0.8191 0.8191 0.8191
12 Pd 0.6373 0.6373 0.6373

Results
**Size of the total moment**: 0.00 μB/f.u.
**Formation energy from the elements**: -0.150 eV per atom
**SG**: R3m (160)

=====

(2)
This record from the Alexandria database describes a relaxed K5Tl6 crystal. The functional is PBE.

Cell: 8.7603 8.7603 7.1647 Å, 100.58 100.58 119.04°
Sites, in units of the cell vectors:
1 K 0.0000 0.0000 0.0000
2 K 0.1550 0.8450 0.5000
3 K 0.2857 0.7143 0.0000
4 K 0.7143 0.2857 0.0000
5 K 0.8450 0.1550 0.5000
6 Tl 0.2127 0.4400 0.3382
7 Tl 0.3882 0.3882 0.7529
8 Tl 0.4400 0.2127 0.3382
9 Tl 0.5600 0.7873 0.6618
10 Tl 0.6118 0.6118 0.2471
11 Tl 0.7873 0.5600 0.6618

Results
**Size of the total moment**: 0.00 μB/f.u.
**Formation energy from the elements**: -0.068 eV per atom
**SG**: C2/m (12)

=====

(3)
This record from the Alexandria database describes a relaxed AcEr2Ag crystal. The functional is PBE.

Cell: 4.8199 4.8199 5.2231 Å, 90.00 90.00 90.00°
Sites, in units of the cell vectors:
1 Ac 0.0000 0.0000 0.0000
2 Er 0.0000 0.5000 0.5000
3 Er 0.5000 0.0000 0.5000
4 Ag 0.5000 0.5000 0.0000

Results
**Size of the total moment**: 0.00 μB/f.u.
**Formation energy from the elements**: 0.078 eV per atom
**SG**: P4/mmm (123)
**Relative energy among the computed polymorphs**: 0.718 eV per formula unit

=====

(4)
This record from the Alexandria database describes a relaxed NaTe2MoN crystal. The functional is PBE.

Cell: 5.5660 5.5660 3.8302 Å, 90.00 90.00 90.00°
Sites, in units of the cell vectors:
1 Na 0.0000 0.0000 0.0000
2 Te 0.0000 0.5000 0.5000
3 Te 0.5000 0.0000 0.5000
4 Mo 0.5000 0.5000 0.5000
5 N 0.5000 0.5000 0.0000

Results
**Size of the total moment**: 0.00 μB/f.u.
**SG**: P4/mmm (123)
**Formation energy without anion corrections**: -0.033 eV/atom
**Relative energy among the computed polymorphs**: 0.000 eV per formula unit

=====

no.,ρ (Mg/m³)
1,6.3
2,5.3
3,9.2
4,5.4